Here is an optimized crystal structure of Rb2DyHoSe4 from Alexandria. Energies are from GGA-PBE.

The calculation puts the density of states at the Fermi level at 0.000 states/eV per atom. The value obtained for the energy is -4.869 eV/atom. The formation energy from raw total energies comes out at -1341 kJ/mol of formula units.

Cell and atoms, written as CIF:
```
data_Rb2DyHoSe4
_cell_length_a 4.234
_cell_length_b 7.333
_cell_length_c 8.355
_cell_angle_alpha 106.99
_cell_angle_beta 90.00
_cell_angle_gamma 90.00
_symmetry_space_group_name_H-M 'P 1'
_symmetry_Int_Tables_number 1
_symmetry_space_group_name_Hall 'P 1'
loop_
_atom_site_label
_atom_site_type_symbol
_atom_site_fract_x
_atom_site_fract_y
_atom_site_fract_z
_atom_site_occupancy
Se1 Se 0.000 0.733 0.195 1
Ho1 Ho 0.000 0.000 0.000 1
Rb1 Rb 0.500 0.000 0.500 1
Rb2 Rb 0.000 0.500 0.500 1
Dy1 Dy 0.500 0.500 0.000 1
Se2 Se 0.500 0.231 0.195 1
Se3 Se 0.500 0.769 0.805 1
Se4 Se 0.000 0.267 0.805 1
```